--- P ---
# SrLiCd2Ag (PBE, relaxed)
# Total magnetization, μB per cell: 0.00
# Calculated volume, Å³/atom: 25.56
data_SrLiCd2Ag
_space_group_name_H-M_alt 'P 1'
_space_group_IT_number 1
_cell_length_a 4.3522
_cell_length_b 4.3837
_cell_length_c 7.3760
_cell_angle_alpha 107.29
_cell_angle_beta 107.16
_cell_angle_gamma 90.00
loop_
_space_group_symop_operation_xyz
'x,y,z'
loop_
_atom_site_label
_atom_site_fract_x
_atom_site_fract_y
_atom_site_fract_z
_atom_site_occupancy
Sr1 0.4330 0.4330 0.8659 1
Li1 0.1960 0.6960 0.3921 1
Cd1 0.6971 0.1971 0.3942 1
Cd2 0.0500 0.0500 0.1001 1
Ag1 0.8360 0.8360 0.6720 1

--- Q ---
# SrLiCd2Ag (PBE, relaxed)
# Total magnetization, μB per cell: 0.00
# Calculated volume, Å³/atom: 25.29
data_SrLiCd2Ag
_space_group_name_H-M_alt 'P 1'
_space_group_IT_number 1
_cell_length_a 5.0498
_cell_length_b 5.0498
_cell_length_c 4.9588
_cell_angle_alpha 90.00
_cell_angle_beta 90.00
_cell_angle_gamma 90.00
loop_
_space_group_symop_operation_xyz
'x,y,z'
loop_
_atom_site_label
_atom_site_fract_x
_atom_site_fract_y
_atom_site_fract_z
_atom_site_occupancy
Sr1 0.5000 0.5000 0.5000 1
Li1 0.0000 0.0000 0.0000 1
Ag1 0.0000 0.0000 0.5000 1
Cd1 0.0000 0.5000 0.0000 1
Cd2 0.5000 0.0000 0.0000 1

--- R ---
# SrLiCd2Ag (PBE, relaxed)
# Total magnetization, μB per cell: 0.00
# Calculated volume, Å³/atom: 28.27
data_SrLiCd2Ag
_space_group_name_H-M_alt 'P 1'
_space_group_IT_number 1
_cell_length_a 5.3384
_cell_length_b 5.3384
_cell_length_c 4.9591
_cell_angle_alpha 90.00
_cell_angle_beta 90.00
_cell_angle_gamma 90.00
loop_
_space_group_symop_operation_xyz
'x,y,z'
loop_
_atom_site_label
_atom_site_fract_x
_atom_site_fract_y
_atom_site_fract_z
_atom_site_occupancy
Sr1 0.5000 0.5000 0.5000 1
Li1 0.0000 0.0000 0.5000 1
Ag1 0.0000 0.0000 0.0000 1
Cd1 0.0000 0.5000 0.0000 1
Cd2 0.5000 0.0000 0.0000 1

It turns out P is the most stable, with the second structure 142 meV per atom higher.

--- P ---
# SrLiCdAg2 (PBE, relaxed)
# Total magnetization, μB per cell: 0.00
# Calculated volume, Å³/atom: 24.19
data_SrLiCdAg2
_space_group_name_H-M_alt 'P 1'
_space_group_IT_number 1
_cell_length_a 4.9356
_cell_length_b 4.9356
_cell_length_c 4.9649
_cell_angle_alpha 90.00
_cell_angle_beta 90.00
_cell_angle_gamma 90.00
loop_
_space_group_symop_operation_xyz
'x,y,z'
loop_
_atom_site_label
_atom_site_fract_x
_atom_site_fract_y
_atom_site_fract_z
_atom_site_occupancy
Sr1 0.5000 0.5000 0.5000 1
Li1 0.0000 0.0000 0.0000 1
Ag1 0.0000 0.5000 0.0000 1
Ag2 0.5000 0.0000 0.0000 1
Cd1 0.0000 0.0000 0.5000 1

--- Q ---
# SrLiCdAg2 (PBE, relaxed)
# Total magnetization, μB per cell: 0.00
# Calculated volume, Å³/atom: 24.48
data_SrLiCdAg2
_space_group_name_H-M_alt 'P 1'
_space_group_IT_number 1
_cell_length_a 4.3270
_cell_length_b 4.3270
_cell_length_c 7.2168
_cell_angle_alpha 107.44
_cell_angle_beta 107.44
_cell_angle_gamma 90.00
loop_
_space_group_symop_operation_xyz
'x,y,z'
loop_
_atom_site_label
_atom_site_fract_x
_atom_site_fract_y
_atom_site_fract_z
_atom_site_occupancy
Sr1 0.0000 0.0000 0.0000 1
Li1 0.7500 0.2500 0.5000 1
Cd1 0.2500 0.7500 0.5000 1
Ag1 0.6074 0.6074 0.2149 1
Ag2 0.3926 0.3926 0.7851 1

It turns out Q is the most stable, with the second structure 168 meV per atom higher.

--- P ---
# MgCd3Ag2 (PBE, relaxed)
# Total magnetization, μB per cell: 0.00
# Calculated volume, Å³/atom: 20.84
data_MgCd3Ag2
_space_group_name_H-M_alt 'P 1'
_space_group_IT_number 1
_cell_length_a 3.0596
_cell_length_b 8.6850
_cell_length_c 9.9824
_cell_angle_alpha 107.21
_cell_angle_beta 98.82
_cell_angle_gamma 90.00
loop_
_space_group_symop_operation_xyz
'x,y,z'
loop_
_atom_site_label
_atom_site_fract_x
_atom_site_fract_y
_atom_site_fract_z
_atom_site_occupancy
Mg1 0.3169 0.9527 0.6339 1
Mg2 0.6831 0.0473 0.3661 1
Cd1 0.3073 0.2882 0.6146 1
Cd2 0.0665 0.7936 0.1331 1
Cd3 0.4400 0.5723 0.8800 1
Cd4 0.6927 0.7118 0.3854 1
Cd5 0.5600 0.4277 0.1200 1
Cd6 0.9335 0.2064 0.8669 1
Ag1 0.3044 0.6241 0.6087 1
Ag2 0.6956 0.3759 0.3913 1
Ag3 0.9256 0.8625 0.8512 1
Ag4 0.0744 0.1375 0.1488 1

--- Q ---
# MgCd3Ag2 (PBE, relaxed)
# Total magnetization, μB per cell: 0.00
# Calculated volume, Å³/atom: 20.08
data_MgCd3Ag2
_space_group_name_H-M_alt 'P 1'
_space_group_IT_number 1
_cell_length_a 3.1070
_cell_length_b 9.4451
_cell_length_c 9.4881
_cell_angle_alpha 61.86
_cell_angle_beta 80.58
_cell_angle_gamma 80.53
loop_
_space_group_symop_operation_xyz
'x,y,z'
loop_
_atom_site_label
_atom_site_fract_x
_atom_site_fract_y
_atom_site_fract_z
_atom_site_occupancy
Mg1 0.5982 0.0099 0.7936 1
Mg2 0.4018 0.9901 0.2064 1
Cd1 0.7285 0.1499 0.3931 1
Cd2 0.9442 0.6845 0.4271 1
Cd3 0.6180 0.5149 0.2492 1
Cd4 0.2715 0.8501 0.6069 1
Cd5 0.3820 0.4851 0.7508 1
Cd6 0.0558 0.3155 0.5729 1
Ag1 0.7183 0.6589 0.9044 1
Ag2 0.2817 0.3411 0.0956 1
Ag3 0.0557 0.8174 0.0712 1
Ag4 0.9443 0.1826 0.9288 1

It turns out Q is the most stable, with the second structure 68 meV per atom higher.

--- P ---
# Mg2CdAg4 (PBE, relaxed)
# Total magnetization, μB per cell: 0.00
# Calculated volume, Å³/atom: 19.99
data_Mg2CdAg4
_space_group_name_H-M_alt 'P 1'
_space_group_IT_number 1
_cell_length_a 9.8949
_cell_length_b 5.6793
_cell_length_c 5.7319
_cell_angle_alpha 119.69
_cell_angle_beta 90.00
_cell_angle_gamma 90.00
loop_
_space_group_symop_operation_xyz
'x,y,z'
loop_
_atom_site_label
_atom_site_fract_x
_atom_site_fract_y
_atom_site_fract_z
_atom_site_occupancy
Mg1 0.9999 0.6688 0.3376 1
Mg2 0.0001 0.3312 0.6624 1
Mg3 0.4999 0.8312 0.6624 1
Mg4 0.5001 0.1688 0.3376 1
Cd1 0.0000 0.0000 0.0000 1
Cd2 0.5000 0.5000 0.0000 1
Ag1 0.7820 0.6097 0.9994 1
Ag2 0.7497 0.5726 0.4994 1
Ag3 0.7503 0.0726 0.4994 1
Ag4 0.7180 0.1097 0.9994 1
Ag5 0.2820 0.8903 0.0006 1
Ag6 0.2497 0.9274 0.5006 1
Ag7 0.2503 0.4274 0.5006 1
Ag8 0.2180 0.3903 0.0006 1

--- Q ---
# Mg2CdAg4 (PBE, relaxed)
# Total magnetization, μB per cell: 0.00
# Calculated volume, Å³/atom: 21.73
data_Mg2CdAg4
_space_group_name_H-M_alt 'P 1'
_space_group_IT_number 1
_cell_length_a 3.9869
_cell_length_b 3.9869
_cell_length_c 9.9768
_cell_angle_alpha 101.53
_cell_angle_beta 101.53
_cell_angle_gamma 90.00
loop_
_space_group_symop_operation_xyz
'x,y,z'
loop_
_atom_site_label
_atom_site_fract_x
_atom_site_fract_y
_atom_site_fract_z
_atom_site_occupancy
Mg1 0.6247 0.6247 0.2493 1
Mg2 0.3753 0.3753 0.7507 1
Cd1 0.0000 0.0000 0.0000 1
Ag1 0.1409 0.1409 0.2818 1
Ag2 0.8591 0.8591 0.7182 1
Ag3 0.7500 0.2500 0.5000 1
Ag4 0.2500 0.7500 0.5000 1

It turns out P is the most stable, with the second structure 26 meV per atom higher.

--- P ---
# MgCd2Ag5 (PBE, relaxed)
# Total magnetization, μB per cell: 0.00
# Calculated volume, Å³/atom: 23.33
data_MgCd2Ag5
_space_group_name_H-M_alt 'P 1'
_space_group_IT_number 1
_cell_length_a 4.8532
_cell_length_b 6.2007
_cell_length_c 6.2007
_cell_angle_alpha 90.00
_cell_angle_beta 90.00
_cell_angle_gamma 90.00
loop_
_space_group_symop_operation_xyz
'x,y,z'
loop_
_atom_site_label
_atom_site_fract_x
_atom_site_fract_y
_atom_site_fract_z
_atom_site_occupancy
Mg1 0.0000 0.0000 0.0000 1
Cd1 0.5000 0.5000 0.0000 1
Cd2 0.5000 0.0000 0.5000 1
Ag1 0.0000 0.7150 0.7150 1
Ag2 0.0000 0.2850 0.7150 1
Ag3 0.0000 0.7150 0.2850 1
Ag4 0.5000 0.0000 0.0000 1
Ag5 0.0000 0.2850 0.2850 1

--- Q ---
# MgCd2Ag5 (PBE, relaxed)
# Total magnetization, μB per cell: 0.00
# Calculated volume, Å³/atom: 18.68
data_MgCd2Ag5
_space_group_name_H-M_alt 'P 1'
_space_group_IT_number 1
_cell_length_a 4.2839
_cell_length_b 4.2839
_cell_length_c 8.6895
_cell_angle_alpha 104.27
_cell_angle_beta 104.27
_cell_angle_gamma 90.00
loop_
_space_group_symop_operation_xyz
'x,y,z'
loop_
_atom_site_label
_atom_site_fract_x
_atom_site_fract_y
_atom_site_fract_z
_atom_site_occupancy
Mg1 0.0000 0.0000 0.0000 1
Cd1 0.7487 0.7487 0.4974 1
Cd2 0.2513 0.2513 0.5026 1
Ag1 0.5000 0.5000 0.0000 1
Ag2 0.8781 0.3781 0.7561 1
Ag3 0.3781 0.8781 0.7561 1
Ag4 0.1219 0.6219 0.2439 1
Ag5 0.6219 0.1219 0.2439 1

It turns out Q is the most stable, with the second structure 442 meV per atom higher.

--- P ---
# Mg3Cd2Ag8 (PBE, relaxed)
# Total magnetization, μB per cell: 0.00
# Calculated volume, Å³/atom: 20.21
data_Mg3Cd2Ag8
_space_group_name_H-M_alt 'P 1'
_space_group_IT_number 1
_cell_length_a 4.7999
_cell_length_b 8.2406
_cell_length_c 8.2409
_cell_angle_alpha 53.72
_cell_angle_beta 90.00
_cell_angle_gamma 90.00
loop_
_space_group_symop_operation_xyz
'x,y,z'
loop_
_atom_site_label
_atom_site_fract_x
_atom_site_fract_y
_atom_site_fract_z
_atom_site_occupancy
Mg1 0.5000 0.0000 0.0000 1
Mg2 0.0000 0.7044 0.2955 1
Mg3 0.0000 0.2956 0.7045 1
Cd1 0.5000 0.7768 0.7764 1
Cd2 0.5000 0.2232 0.2236 1
Ag1 0.0000 0.3307 0.3309 1
Ag2 0.0000 0.6693 0.6691 1
Ag3 0.0000 0.8794 0.8792 1
Ag4 0.0000 0.1206 0.1208 1
Ag5 0.5000 0.4137 0.7934 1
Ag6 0.5000 0.7931 0.4137 1
Ag7 0.5000 0.2069 0.5863 1
Ag8 0.5000 0.5863 0.2066 1

--- Q ---
# Mg3Cd2Ag8 (PBE, relaxed)
# Total magnetization, μB per cell: 0.00
# Calculated volume, Å³/atom: 20.57
data_Mg3Cd2Ag8
_space_group_name_H-M_alt 'P 1'
_space_group_IT_number 1
_cell_length_a 5.4952
_cell_length_b 5.4952
_cell_length_c 10.7050
_cell_angle_alpha 75.13
_cell_angle_beta 75.13
_cell_angle_gamma 60.00
loop_
_space_group_symop_operation_xyz
'x,y,z'
loop_
_atom_site_label
_atom_site_fract_x
_atom_site_fract_y
_atom_site_fract_z
_atom_site_occupancy
Mg1 0.0000 0.0000 0.0000 1
Mg2 0.8154 0.8154 0.5539 1
Mg3 0.1846 0.1846 0.4461 1
Cd1 0.6383 0.6383 0.0850 1
Cd2 0.3617 0.3617 0.9150 1
Ag1 0.7271 0.7271 0.8188 1
Ag2 0.2729 0.2729 0.1812 1
Ag3 0.2253 0.7269 0.3208 1
Ag4 0.7269 0.2253 0.3208 1
Ag5 0.7269 0.7269 0.3208 1
Ag6 0.2731 0.7747 0.6792 1
Ag7 0.7747 0.2731 0.6792 1
Ag8 0.2731 0.2731 0.6792 1

It turns out P is the most stable, with the second structure 27 meV per atom higher.